(1)
First-principles (meta-GGA SCAN) data for CoSiMo2 at its PBEsol-relaxed geometry, as listed in Alexandria via LeMat-Bulk.

Structure (CIF):
```
data_CoSiMo2
_cell_length_a 3.0834
_cell_length_b 3.0834
_cell_length_c 5.5553
_cell_angle_alpha 90.00
_cell_angle_beta 90.00
_cell_angle_gamma 90.00
_space_group_name_H-M_alt 'P 1'
_space_group_IT_number 1
loop_
_space_group_symop_operation_xyz
'x,y,z'
loop_
_atom_site_label
_atom_site_fract_x
_atom_site_fract_y
_atom_site_fract_z
Co1 0.5000 0.5000 0.7342
Mo1 0.0000 0.0000 0.9920
Mo2 0.5000 0.5000 0.2582
Si1 0.0000 0.0000 0.5155
```

Properties
Crystal system: tetragonal
Formation energy (no corrections) (meV per atom): 12
E (eV per formula unit): -97.04


(2)
First-principles (meta-GGA SCAN) data for Co2SiMo at its PBEsol-relaxed geometry, as listed in Alexandria via LeMat-Bulk.

Structure (CIF):
```
data_Co2SiMo
_cell_length_a 2.6393
_cell_length_b 2.6393
_cell_length_c 6.5053
_cell_angle_alpha 90.00
_cell_angle_beta 90.00
_cell_angle_gamma 90.00
_space_group_name_H-M_alt 'P 1'
_space_group_IT_number 1
loop_
_space_group_symop_operation_xyz
'x,y,z'
loop_
_atom_site_label
_atom_site_fract_x
_atom_site_fract_y
_atom_site_fract_z
Mo1 0.5000 0.5000 0.0000
Co1 0.0000 0.0000 0.7091
Co2 0.0000 0.0000 0.2909
Si1 0.5000 0.5000 0.5000
```

Properties
Crystal system: tetragonal
Formation energy (no corrections) (meV per atom): -241
E (eV per formula unit): -80.47